No. 1
7
Lattice="5.4999 0.0000 0.0000 2.7499 4.7630 0.0000 2.7499 1.5877 7.9269" Properties=species:S:1:pos:R:3 comment="PBE Na2Tl2Sb2Pb, optimized geometry" e_form_raw_mev_per_atom=-96 magnetic_moment_mub_per_fu=0.0 pbc="T T T"
Tl 5.4999 3.1754 2.1642
Sb 8.2498 4.7630 6.4259
Sb 2.7499 1.5877 1.5010
Tl 5.4999 3.1754 5.7628
Na 8.2498 4.7630 3.2431
Na 2.7499 1.5877 4.6838
Pb 0.0000 0.0000 0.0000

***

No. 2
10
Lattice="-2.5644 -2.1105 -0.7988 -0.2066 -0.9664 10.5211 -5.7388 6.7799 0.5101" Properties=species:S:1:pos:R:3 comment="PBE NaTl2SbPb, optimized geometry" e_form_raw_mev_per_atom=7 magnetic_moment_mub_per_fu=0.0 relative_energy_kj_per_mol_fu=0 pbc="T T T"
Pb -2.8694 3.3899 0.2550
Na -6.3756 2.9578 5.3492
Sb -5.5025 3.4575 8.5301
Tl -4.8468 0.5044 6.9237
Tl -2.6755 -2.0608 6.7307
Sb -3.0073 0.2454 1.7024
Pb 0.0000 0.0000 0.0000
Tl -5.8344 5.7638 3.5018
Na -2.1342 0.7451 4.8832
Tl -3.6631 3.1986 3.3088

***

No. 3
6
Lattice="-1.8398 -4.2170 0.2406 4.4205 0.5202 -1.1892 2.2944 -0.5277 8.2980" Properties=species:S:1:pos:R:3 comment="PBE NaZn2Sb2Pb, optimized geometry" e_form_raw_mev_per_atom=-82 magnetic_moment_mub_per_fu=0.0 pbc="T T T"
Pb 1.1472 -0.2638 4.1490
Sb 2.9180 -1.1932 1.4004
Sb 1.9571 -3.0312 5.9490
Zn 4.1638 -1.4797 5.9059
Na 0.0000 0.0000 0.0000
Zn 0.7113 -2.7447 1.4435

***

No. 4
12
Lattice="-2.3302 -3.4739 3.3817 6.5290 -4.0702 0.3175 1.3084 2.7209 7.9748" Properties=species:S:1:pos:R:3 comment="PBE Na5ScPb6, optimized geometry" formation_energy_mev_per_atom=-173 magnetic_moment_mub_per_fu=0.0 pbc="T T T"
Na 2.5433 -2.6092 7.6282
Na -0.3297 -0.2313 3.8132
Pb -0.0457 -2.9901 5.4529
Pb 5.5528 -1.8331 6.2211
Sc 0.0000 0.0000 0.0000
Pb 0.3985 -2.7117 1.7669
Na -0.6922 -0.5217 7.5432
Pb 3.8003 -4.8324 1.9323
Na 2.9638 -2.2141 4.0458
Na 3.2645 -2.0351 0.1588
Pb 2.0198 0.3694 6.0493
Pb 3.4874 -5.1926 5.6247

***

No. 5
4
Lattice="3.4276 0.0000 0.0000 0.0000 3.4276 0.0000 0.0000 0.0000 9.1711" Properties=species:S:1:pos:R:3 comment="PBE NaScPb2, optimized geometry" formation_energy_mev_per_atom=-268 magnetic_moment_mub_per_fu=0.1 pbc="T T T"
Sc 1.7138 1.7138 0.0000
Pb 0.0000 0.0000 7.0359
Pb 0.0000 0.0000 2.1352
Na 1.7138 1.7138 4.5856

***

No. 6
8
Lattice="8.3120 0.0000 0.0000 0.0000 8.3120 0.0000 4.1560 4.1560 3.1644" Properties=species:S:1:pos:R:3 comment="PBE NaSc2Pb, optimized geometry" formation_energy_mev_per_atom=230 magnetic_moment_mub_per_fu=0.5 pbc="T T T"
Sc 6.2340 6.0630 2.3733
Sc 1.9070 6.2340 0.7911
Sc 6.4050 2.0780 0.7911
Na 4.1560 4.1560 0.0000
Sc 10.3900 10.5610 2.3733
Na 4.1560 8.3120 1.5822
Pb 8.3120 4.1560 1.5822
Pb 0.0000 0.0000 0.0000